# Nd2PbAu | OQMD | PBE | optimized geometry
# V, Å³/cell: 232.15
# M_tot, Bohr magnetons per cell: 0.02
# Raw total energy, eV per atom: -4.760
data_Nd2PbAu
_space_group_name_H-M_alt 'P 1'
_space_group_IT_number 1
_cell_length_a 4.670
_cell_length_b 4.235
_cell_length_c 11.739
_cell_angle_alpha 90.00
_cell_angle_beta 90.00
_cell_angle_gamma 90.00
loop_
_space_group_symop_operation_xyz
'x,y,z'
loop_
_atom_site_label
_atom_site_type_symbol
_atom_site_fract_x
_atom_site_fract_y
_atom_site_fract_z
Nd1 Nd 0.000 0.000 0.000
Nd2 Nd 0.000 0.500 0.500
Nd3 Nd 0.500 0.000 0.281
Nd4 Nd 0.500 0.500 0.781
Pb1 Pb 0.500 0.000 0.558
Pb2 Pb 0.500 0.500 0.058
Au1 Au 0.000 0.000 0.734
Au2 Au 0.000 0.500 0.234

=====

# HoZr3Sn2C2 | OQMD | PBE | optimized geometry
# V, Å³/cell: 152.39
# M_tot, Bohr magnetons per cell: 0.02
# Raw total energy, eV per atom: -7.814
data_HoZr3Sn2C2
_space_group_name_H-M_alt 'P 1'
_space_group_IT_number 1
_cell_length_a 3.423
_cell_length_b 3.423
_cell_length_c 15.018
_cell_angle_alpha 90.00
_cell_angle_beta 90.00
_cell_angle_gamma 120.00
loop_
_space_group_symop_operation_xyz
'x,y,z'
loop_
_atom_site_label
_atom_site_type_symbol
_atom_site_fract_x
_atom_site_fract_y
_atom_site_fract_z
Ho1 Ho 0.000 0.000 0.000
Zr1 Zr 0.000 0.000 0.663
Zr2 Zr 0.667 0.333 0.174
Zr3 Zr 0.667 0.333 0.498
Sn1 Sn 0.000 0.000 0.336
Sn2 Sn 0.667 0.333 0.825
C1 C 0.333 0.667 0.095
C2 C 0.333 0.667 0.580

=====

# Be2Ag2Pt | OQMD | PBE | optimized geometry
# V, Å³/cell: 135.82
# M_tot, Bohr magnetons per cell: 0.00
# Raw total energy, eV per atom: -3.887
data_Be2Ag2Pt
_space_group_name_H-M_alt 'P 1'
_space_group_IT_number 1
_cell_length_a 5.978
_cell_length_b 5.978
_cell_length_c 3.801
_cell_angle_alpha 90.00
_cell_angle_beta 90.00
_cell_angle_gamma 90.00
loop_
_space_group_symop_operation_xyz
'x,y,z'
loop_
_atom_site_label
_atom_site_type_symbol
_atom_site_fract_x
_atom_site_fract_y
_atom_site_fract_z
Be1 Be 0.138 0.362 0.000
Be2 Be 0.362 0.862 0.000
Be3 Be 0.638 0.138 0.000
Be4 Be 0.862 0.638 0.000
Ag1 Ag 0.167 0.667 0.500
Ag2 Ag 0.333 0.167 0.500
Ag3 Ag 0.667 0.833 0.500
Ag4 Ag 0.833 0.333 0.500
Pt1 Pt 0.000 0.000 0.000
Pt2 Pt 0.500 0.500 0.000

=====

# Cu7Ag3 | OQMD | PBE | optimized geometry
# V, Å³/cell: 136.43
# Raw total energy, eV per atom: -3.374
data_Cu7Ag3
_space_group_name_H-M_alt 'P 1'
_space_group_IT_number 1
_cell_length_a 2.766
_cell_length_b 2.766
_cell_length_c 17.835
_cell_angle_alpha 90.00
_cell_angle_beta 90.00
_cell_angle_gamma 90.00
loop_
_space_group_symop_operation_xyz
'x,y,z'
loop_
_atom_site_label
_atom_site_type_symbol
_atom_site_fract_x
_atom_site_fract_y
_atom_site_fract_z
Cu1 Cu 0.000 0.000 0.000
Cu2 Cu 0.000 0.000 0.215
Cu3 Cu 0.000 0.000 0.391
Cu4 Cu 0.000 0.000 0.609
Cu5 Cu 0.000 0.000 0.785
Cu6 Cu 0.500 0.500 0.303
Cu7 Cu 0.500 0.500 0.697
Ag1 Ag 0.500 0.500 0.107
Ag2 Ag 0.500 0.500 0.500
Ag3 Ag 0.500 0.500 0.893

=====

# GaIr2 | OQMD | PBE | optimized geometry
# V, Å³/cell: 99.85
# M_tot, Bohr magnetons per cell: 0.03
# Raw total energy, eV per atom: -6.542
data_GaIr2
_space_group_name_H-M_alt 'P 1'
_space_group_IT_number 1
_cell_length_a 5.207
_cell_length_b 5.207
_cell_length_c 5.207
_cell_angle_alpha 60.00
_cell_angle_beta 60.00
_cell_angle_gamma 60.00
loop_
_space_group_symop_operation_xyz
'x,y,z'
loop_
_atom_site_label
_atom_site_type_symbol
_atom_site_fract_x
_atom_site_fract_y
_atom_site_fract_z
Ga1 Ga 0.125 0.125 0.125
Ga2 Ga 0.875 0.875 0.875
Ir1 Ir 0.000 0.500 0.500
Ir2 Ir 0.500 0.000 0.500
Ir3 Ir 0.500 0.500 0.000
Ir4 Ir 0.500 0.500 0.500

=====

# Zr2GaW | OQMD | PBE | optimized geometry
# V, Å³/cell: 297.18
# M_tot, Bohr magnetons per cell: 2.46
# Raw total energy, eV per atom: -8.186
data_Zr2GaW
_space_group_name_H-M_alt 'P 1'
_space_group_IT_number 1
_cell_length_a 6.673
_cell_length_b 6.673
_cell_length_c 6.673
_cell_angle_alpha 90.00
_cell_angle_beta 90.00
_cell_angle_gamma 90.00
loop_
_space_group_symop_operation_xyz
'x,y,z'
loop_
_atom_site_label
_atom_site_type_symbol
_atom_site_fract_x
_atom_site_fract_y
_atom_site_fract_z
Zr1 Zr 0.000 0.000 0.000
Zr2 Zr 0.000 0.500 0.500
Zr3 Zr 0.250 0.250 0.250
Zr4 Zr 0.250 0.750 0.750
Zr5 Zr 0.500 0.000 0.500
Zr6 Zr 0.500 0.500 0.000
Zr7 Zr 0.750 0.250 0.750
Zr8 Zr 0.750 0.750 0.250
Ga1 Ga 0.000 0.000 0.500
Ga2 Ga 0.000 0.500 0.000
Ga3 Ga 0.500 0.000 0.000
Ga4 Ga 0.500 0.500 0.500
W1 W 0.250 0.250 0.750
W2 W 0.250 0.750 0.250
W3 W 0.750 0.250 0.250
W4 W 0.750 0.750 0.750

=====

# SmTmCF2 | OQMD | PBE | optimized geometry
# V, Å³/cell: 73.90
# M_tot, Bohr magnetons per cell: 0.00
# Raw total energy, eV per atom: -6.819
data_SmTmCF2
_space_group_name_H-M_alt 'P 1'
_space_group_IT_number 1
_cell_length_a 3.662
_cell_length_b 3.662
_cell_length_c 6.364
_cell_angle_alpha 90.00
_cell_angle_beta 90.00
_cell_angle_gamma 120.00
loop_
_space_group_symop_operation_xyz
'x,y,z'
loop_
_atom_site_label
_atom_site_type_symbol
_atom_site_fract_x
_atom_site_fract_y
_atom_site_fract_z
Sm1 Sm 0.000 0.000 0.000
Tm1 Tm 0.333 0.667 0.573
C1 C 0.667 0.333 0.784
F1 F 0.000 0.000 0.420
F2 F 0.333 0.667 0.195

=====

# NbFeOsPb | OQMD | PBE | optimized geometry
# V, Å³/cell: 265.08
# M_tot, Bohr magnetons per cell: 4.85
# Raw total energy, eV per atom: -7.939
data_NbFeOsPb
_space_group_name_H-M_alt 'P 1'
_space_group_IT_number 1
_cell_length_a 6.424
_cell_length_b 6.424
_cell_length_c 6.424
_cell_angle_alpha 90.00
_cell_angle_beta 90.00
_cell_angle_gamma 90.00
loop_
_space_group_symop_operation_xyz
'x,y,z'
loop_
_atom_site_label
_atom_site_type_symbol
_atom_site_fract_x
_atom_site_fract_y
_atom_site_fract_z
Nb1 Nb 0.000 0.000 0.000
Nb2 Nb 0.000 0.500 0.500
Nb3 Nb 0.500 0.000 0.500
Nb4 Nb 0.500 0.500 0.000
Fe1 Fe 0.250 0.250 0.750
Fe2 Fe 0.250 0.750 0.250
Fe3 Fe 0.750 0.250 0.250
Fe4 Fe 0.750 0.750 0.750
Os1 Os 0.250 0.250 0.250
Os2 Os 0.250 0.750 0.750
Os3 Os 0.750 0.250 0.750
Os4 Os 0.750 0.750 0.250
Pb1 Pb 0.000 0.000 0.500
Pb2 Pb 0.000 0.500 0.000
Pb3 Pb 0.500 0.000 0.000
Pb4 Pb 0.500 0.500 0.500

=====

# InCuNiSn | OQMD | PBE | optimized geometry
# V, Å³/cell: 272.69
# M_tot, Bohr magnetons per cell: 0.02
# Raw total energy, eV per atom: -3.914
data_InCuNiSn
_space_group_name_H-M_alt 'P 1'
_space_group_IT_number 1
_cell_length_a 6.485
_cell_length_b 6.485
_cell_length_c 6.485
_cell_angle_alpha 90.00
_cell_angle_beta 90.00
_cell_angle_gamma 90.00
loop_
_space_group_symop_operation_xyz
'x,y,z'
loop_
_atom_site_label
_atom_site_type_symbol
_atom_site_fract_x
_atom_site_fract_y
_atom_site_fract_z
In1 In 0.000 0.000 0.000
In2 In 0.000 0.500 0.500
In3 In 0.500 0.000 0.500
In4 In 0.500 0.500 0.000
Cu1 Cu 0.250 0.250 0.750
Cu2 Cu 0.250 0.750 0.250
Cu3 Cu 0.750 0.250 0.250
Cu4 Cu 0.750 0.750 0.750
Ni1 Ni 0.250 0.250 0.250
Ni2 Ni 0.250 0.750 0.750
Ni3 Ni 0.750 0.250 0.750
Ni4 Ni 0.750 0.750 0.250
Sn1 Sn 0.000 0.000 0.500
Sn2 Sn 0.000 0.500 0.000
Sn3 Sn 0.500 0.000 0.000
Sn4 Sn 0.500 0.500 0.500

=====

# Er2TmAg3 | OQMD | PBE | optimized geometry
# V, Å³/cell: 138.14
# M_tot, Bohr magnetons per cell: 0.01
# Raw total energy, eV per atom: -4.026
data_Er2TmAg3
_space_group_name_H-M_alt 'P 1'
_space_group_IT_number 1
_cell_length_a 3.570
_cell_length_b 3.570
_cell_length_c 10.836
_cell_angle_alpha 90.00
_cell_angle_beta 90.00
_cell_angle_gamma 90.00
loop_
_space_group_symop_operation_xyz
'x,y,z'
loop_
_atom_site_label
_atom_site_type_symbol
_atom_site_fract_x
_atom_site_fract_y
_atom_site_fract_z
Er1 Er 0.000 0.000 0.167
Er2 Er 0.000 0.000 0.833
Tm1 Tm 0.000 0.000 0.500
Ag1 Ag 0.500 0.500 0.000
Ag2 Ag 0.500 0.500 0.335
Ag3 Ag 0.500 0.500 0.665

=====

# Y2GaNi | OQMD | PBE | optimized geometry
# V, Å³/cell: 322.31
# M_tot, Bohr magnetons per cell: 3.22
# Raw total energy, eV per atom: -5.442
data_Y2GaNi
_space_group_name_H-M_alt 'P 1'
_space_group_IT_number 1
_cell_length_a 6.856
_cell_length_b 6.856
_cell_length_c 6.856
_cell_angle_alpha 90.00
_cell_angle_beta 90.00
_cell_angle_gamma 90.00
loop_
_space_group_symop_operation_xyz
'x,y,z'
loop_
_atom_site_label
_atom_site_type_symbol
_atom_site_fract_x
_atom_site_fract_y
_atom_site_fract_z
Y1 Y 0.000 0.000 0.000
Y2 Y 0.000 0.500 0.500
Y3 Y 0.250 0.250 0.250
Y4 Y 0.250 0.750 0.750
Y5 Y 0.500 0.000 0.500
Y6 Y 0.500 0.500 0.000
Y7 Y 0.750 0.250 0.750
Y8 Y 0.750 0.750 0.250
Ga1 Ga 0.000 0.000 0.500
Ga2 Ga 0.000 0.500 0.000
Ga3 Ga 0.500 0.000 0.000
Ga4 Ga 0.500 0.500 0.500
Ni1 Ni 0.250 0.250 0.750
Ni2 Ni 0.250 0.750 0.250
Ni3 Ni 0.750 0.250 0.250
Ni4 Ni 0.750 0.750 0.750

=====

# LiFeSnW | OQMD | PBE | optimized geometry
# V, Å³/cell: 249.08
# M_tot, Bohr magnetons per cell: 14.33
# Raw total energy, eV per atom: -6.185
data_LiFeSnW
_space_group_name_H-M_alt 'P 1'
_space_group_IT_number 1
_cell_length_a 6.292
_cell_length_b 6.292
_cell_length_c 6.292
_cell_angle_alpha 90.00
_cell_angle_beta 90.00
_cell_angle_gamma 90.00
loop_
_space_group_symop_operation_xyz
'x,y,z'
loop_
_atom_site_label
_atom_site_type_symbol
_atom_site_fract_x
_atom_site_fract_y
_atom_site_fract_z
Li1 Li 0.000 0.000 0.000
Li2 Li 0.000 0.500 0.500
Li3 Li 0.500 0.000 0.500
Li4 Li 0.500 0.500 0.000
Fe1 Fe 0.250 0.250 0.750
Fe2 Fe 0.250 0.750 0.250
Fe3 Fe 0.750 0.250 0.250
Fe4 Fe 0.750 0.750 0.750
Sn1 Sn 0.000 0.000 0.500
Sn2 Sn 0.000 0.500 0.000
Sn3 Sn 0.500 0.000 0.000
Sn4 Sn 0.500 0.500 0.500
W1 W 0.250 0.250 0.250
W2 W 0.250 0.750 0.750
W3 W 0.750 0.250 0.750
W4 W 0.750 0.750 0.250

=====

Copy entry 5 word for word.
# GaIr2 | OQMD | PBE | optimized geometry
# V, Å³/cell: 99.85
# M_tot, Bohr magnetons per cell: 0.03
# Raw total energy, eV per atom: -6.542
data_GaIr2
_space_group_name_H-M_alt 'P 1'
_space_group_IT_number 1
_cell_length_a 5.207
_cell_length_b 5.207
_cell_length_c 5.207
_cell_angle_alpha 60.00
_cell_angle_beta 60.00
_cell_angle_gamma 60.00
loop_
_space_group_symop_operation_xyz
'x,y,z'
loop_
_atom_site_label
_atom_site_type_symbol
_atom_site_fract_x
_atom_site_fract_y
_atom_site_fract_z
Ga1 Ga 0.125 0.125 0.125
Ga2 Ga 0.875 0.875 0.875
Ir1 Ir 0.000 0.500 0.500
Ir2 Ir 0.500 0.000 0.500
Ir3 Ir 0.500 0.500 0.000
Ir4 Ir 0.500 0.500 0.500

=====

> Number 1 is which compound?

Nd2PbAu